# 1
VASP calculation (PBE) on a relaxed LuCuAgGe crystal.

**Distance to the lowest polymorph of the same formula**: 0.0000 eV/atom

Unit cell a=6.629 b=6.629 c=6.629 alpha=90.00 beta=90.00 gamma=90.00
Element x y z (fractional)
1 Lu 0.000 0.000 0.000
2 Lu 0.000 0.500 0.500
3 Lu 0.500 0.000 0.500
4 Lu 0.500 0.500 0.000
5 Cu 0.000 0.000 0.500
6 Cu 0.000 0.500 0.000
7 Cu 0.500 0.000 0.000
8 Cu 0.500 0.500 0.500
9 Ag 0.250 0.250 0.750
10 Ag 0.250 0.750 0.250
11 Ag 0.750 0.250 0.250
12 Ag 0.750 0.750 0.750
13 Ge 0.250 0.250 0.250
14 Ge 0.250 0.750 0.750
15 Ge 0.750 0.250 0.750
16 Ge 0.750 0.750 0.250

=====

# 2
VASP calculation (PBE) on a relaxed KZnNO crystal.

**Distance to the lowest polymorph of the same formula**: 0.6762 eV/atom

Unit cell a=4.130 b=4.130 c=7.792 alpha=90.00 beta=90.00 gamma=90.00
Element x y z (fractional)
1 K 0.250 0.750 0.000
2 K 0.750 0.250 0.000
3 Zn 0.250 0.250 0.434
4 Zn 0.750 0.750 0.566
5 N 0.250 0.250 0.189
6 N 0.750 0.750 0.811
7 O 0.250 0.750 0.500
8 O 0.750 0.250 0.500

=====

# 3
VASP calculation (PBE) on a relaxed La2LuSe3 crystal.

**Total energy**: -36.05 eV/cell

Unit cell a=4.157 b=4.157 c=10.531 alpha=90.00 beta=90.00 gamma=120.00
Element x y z (fractional)
1 La 0.333 0.667 0.173
2 La 0.667 0.333 0.827
3 Lu 0.000 0.000 0.500
4 Se 0.000 0.000 0.000
5 Se 0.333 0.667 0.644
6 Se 0.667 0.333 0.356

=====

# 4
VASP calculation (PBE) on a relaxed KNiH2 crystal.

**Total energy**: -10.99 eV/cell

Unit cell a=3.195 b=3.195 c=4.599 alpha=90.00 beta=90.00 gamma=90.00
Element x y z (fractional)
1 K 0.000 0.000 0.000
2 Ni 0.500 0.500 0.500
3 H 0.000 0.000 0.500
4 H 0.500 0.500 0.000

=====

# 5
VASP calculation (PBE) on a relaxed ScCuReB crystal.

**Distance to the lowest polymorph of the same formula**: 0.0000 eV/atom

Unit cell a=5.955 b=5.955 c=5.955 alpha=90.00 beta=90.00 gamma=90.00
Element x y z (fractional)
1 Sc 0.000 0.000 0.000
2 Sc 0.000 0.500 0.500
3 Sc 0.500 0.000 0.500
4 Sc 0.500 0.500 0.000
5 Cu 0.250 0.250 0.750
6 Cu 0.250 0.750 0.250
7 Cu 0.750 0.250 0.250
8 Cu 0.750 0.750 0.750
9 Re 0.250 0.250 0.250
10 Re 0.250 0.750 0.750
11 Re 0.750 0.250 0.750
12 Re 0.750 0.750 0.250
13 B 0.000 0.000 0.500
14 B 0.000 0.500 0.000
15 B 0.500 0.000 0.000
16 B 0.500 0.500 0.500

=====

# 6
VASP calculation (PBE) on a relaxed GdErNi2B2C2 crystal.

**Total energy**: -56.29 eV/cell

Unit cell a=3.593 b=3.593 c=7.539 alpha=90.00 beta=90.00 gamma=90.00
Element x y z (fractional)
1 Gd 0.000 0.000 0.000
2 Er 0.500 0.500 0.667
3 Ni 0.000 0.500 0.334
4 Ni 0.500 0.000 0.334
5 B 0.000 0.000 0.478
6 B 0.500 0.500 0.186
7 C 0.000 0.000 0.676
8 C 0.500 0.500 0.987

=====

# 7
VASP calculation (PBE) on a relaxed InAg3PbO4 crystal.

**Total energy**: -37.86 eV/cell

Unit cell a=5.384 b=5.384 c=5.384 alpha=90.00 beta=90.00 gamma=90.00
Element x y z (fractional)
1 In 0.000 0.000 0.000
2 Ag 0.000 0.500 0.500
3 Ag 0.500 0.000 0.500
4 Ag 0.500 0.500 0.000
5 Pb 0.500 0.500 0.500
6 O 0.228 0.228 0.228
7 O 0.228 0.772 0.772
8 O 0.772 0.228 0.772
9 O 0.772 0.772 0.228

=====

# 8
VASP calculation (PBE) on a relaxed CdAsNO crystal.

**Distance to the lowest polymorph of the same formula**: 0.7262 eV/atom

Unit cell a=3.811 b=3.811 c=7.370 alpha=90.00 beta=90.00 gamma=90.00
Element x y z (fractional)
1 Cd 0.250 0.750 0.000
2 Cd 0.750 0.250 0.000
3 As 0.250 0.250 0.372
4 As 0.750 0.750 0.628
5 N 0.250 0.250 0.810
6 N 0.750 0.750 0.190
7 O 0.250 0.750 0.500
8 O 0.750 0.250 0.500

=====

# 9
VASP calculation (PBE) on a relaxed CuBiMoAu crystal.

**Distance to the lowest polymorph of the same formula**: 0.1059 eV/atom

Unit cell a=6.795 b=6.795 c=6.795 alpha=90.00 beta=90.00 gamma=90.00
Element x y z (fractional)
1 Cu 0.000 0.000 0.000
2 Cu 0.000 0.500 0.500
3 Cu 0.500 0.000 0.500
4 Cu 0.500 0.500 0.000
5 Bi 0.250 0.250 0.750
6 Bi 0.250 0.750 0.250
7 Bi 0.750 0.250 0.250
8 Bi 0.750 0.750 0.750
9 Mo 0.250 0.250 0.250
10 Mo 0.250 0.750 0.750
11 Mo 0.750 0.250 0.750
12 Mo 0.750 0.750 0.250
13 Au 0.000 0.000 0.500
14 Au 0.000 0.500 0.000
15 Au 0.500 0.000 0.000
16 Au 0.500 0.500 0.500

=====

# 10
VASP calculation (PBE) on a relaxed HfTaCoGe crystal.

**Distance to the lowest polymorph of the same formula**: 0.0000 eV/atom

Unit cell a=6.381 b=6.381 c=6.381 alpha=90.00 beta=90.00 gamma=90.00
Element x y z (fractional)
1 Hf 0.000 0.000 0.000
2 Hf 0.000 0.500 0.500
3 Hf 0.500 0.000 0.500
4 Hf 0.500 0.500 0.000
5 Ta 0.250 0.250 0.250
6 Ta 0.250 0.750 0.750
7 Ta 0.750 0.250 0.750
8 Ta 0.750 0.750 0.250
9 Co 0.250 0.250 0.750
10 Co 0.250 0.750 0.250
11 Co 0.750 0.250 0.250
12 Co 0.750 0.750 0.750
13 Ge 0.000 0.000 0.500
14 Ge 0.000 0.500 0.000
15 Ge 0.500 0.000 0.000
16 Ge 0.500 0.500 0.500

=====

| no. | calculated volume (Å³/cell) |
| --- | --- |
| 1 | 291.2 |
| 2 | 132.9 |
| 3 | 157.6 |
| 4 | 46.9 |
| 5 | 211.2 |
| 6 | 97.3 |
| 7 | 156.1 |
| 8 | 107.1 |
| 9 | 313.7 |
| 10 | 259.8 |